Entry 1:
VASP calculation (PBE-GGA) on a relaxed NaLa2Fe2 crystal.

## Properties
- formation energy (kcal/mol of atoms) = 10.41
- total energy (eV per atom) = -5.17
- magnetization (Bohr magnetons per cell) = 6.8

Cell: 8.6582 8.6582 3.4332 Å, 90.00 90.00 90.00°
Sites, in units of the cell vectors:
La  0.3283  0.8283  0.0000
La  0.8283  0.6717  0.0000
Na  0.0000  0.0000  0.0000
Fe  0.0961  0.5961  0.5000
Fe  0.9039  0.4039  0.5000
La  0.6717  0.1717  0.0000
Na  0.5000  0.5000  0.0000
La  0.1717  0.3283  0.0000
Fe  0.4039  0.0961  0.5000
Fe  0.5961  0.9039  0.5000

Entry 2:
VASP calculation (PBE-GGA) on a relaxed NaLaFe3 crystal.

## Properties
- formation energy (kcal/mol of atoms) = 35.84
- total energy (eV per atom) = -4.77
- magnetization (Bohr magnetons per cell) = 6.2

Cell: 4.8257 4.8257 4.8257 Å, 90.00 90.00 90.00°
Sites, in units of the cell vectors:
Fe  0.0000  0.5000  0.0000
La  0.0000  0.0000  0.0000
Na  0.5000  0.5000  0.5000
Fe  0.5000  0.0000  0.0000
Fe  0.0000  0.0000  0.5000

Entry 3:
VASP calculation (PBE-GGA) on a relaxed NaLa2Fe crystal.

## Properties
- formation energy (kcal/mol of atoms) = 4.56
- total energy (eV per atom) = -4.71
- magnetization (Bohr magnetons per cell) = 0.0

Cell: 3.9448 3.9448 10.7982 Å, 79.48 79.48 60.00°
Sites, in units of the cell vectors:
La  0.8808  0.8808  0.3575
Fe  0.5000  0.5000  0.5000
La  0.1192  0.1192  0.6425
Na  0.0000  0.0000  0.0000

Entry 4:
VASP calculation (PBE-GGA) on a relaxed NaLaFe2 crystal.

## Properties
- formation energy (kcal/mol of atoms) = 20.96
- total energy (eV per atom) = -4.88
- magnetization (Bohr magnetons per cell) = 8.2

Cell: 4.4832 4.4832 9.9664 Å, 77.00 77.00 90.00°
Sites, in units of the cell vectors:
Na  0.5000  0.5000  0.0000
Fe  0.7544  0.1250  0.2500
La  0.0000  0.0000  0.0000
Na  0.2500  0.7500  0.5000
La  0.7500  0.2500  0.5000
Fe  0.8750  0.0045  0.7500
Fe  0.9956  0.6250  0.2500
Fe  0.3750  0.2456  0.7500

Entry 5:
VASP calculation (PBE-GGA) on a relaxed NaLa2Fe crystal.

## Properties
- formation energy (kcal/mol of atoms) = 8.12
- total energy (eV per atom) = -4.56
- magnetization (Bohr magnetons per cell) = 0.0

Cell: 7.8199 7.8199 7.7164 Å, 59.56 59.56 90.00°
Sites, in units of the cell vectors:
Na  0.2500  0.7500  0.5000
La  0.8750  0.0660  0.7500
Fe  0.7500  0.2500  0.5000
La  0.9340  0.6250  0.2500
Na  0.5000  0.5000  0.0000
La  0.8160  0.1250  0.2500
Fe  0.0000  0.0000  0.0000
La  0.3750  0.1840  0.7500

Entry 6:
VASP calculation (PBE-GGA) on a relaxed NaLaFe3 crystal.

## Properties
- formation energy (kcal/mol of atoms) = 31.24
- total energy (eV per atom) = -4.97
- magnetization (Bohr magnetons per cell) = 8.0

Cell: 4.7405 4.7405 4.7405 Å, 90.00 90.00 90.00°
Sites, in units of the cell vectors:
La  0.5000  0.5000  0.5000
Fe  0.0000  0.0000  0.5000
Fe  0.5000  0.0000  0.0000
Na  0.0000  0.0000  0.0000
Fe  0.0000  0.5000  0.0000

Entry 7:
VASP calculation (PBE-GGA) on a relaxed NaLaFe2 crystal.

## Properties
- formation energy (kcal/mol of atoms) = 23.81
- total energy (eV per atom) = -4.76
- magnetization (Bohr magnetons per cell) = 0.0

Cell: 4.6533 4.6533 4.6533 Å, 60.00 60.00 60.00°
Sites, in units of the cell vectors:
La  0.5000  0.5000  0.5000
Fe  0.2500  0.2500  0.2500
Na  0.0000  0.0000  0.0000
Fe  0.7500  0.7500  0.7500

Entry 8:
VASP calculation (PBE-GGA) on a relaxed NaLa2Fe2 crystal.

## Properties
- formation energy (kcal/mol of atoms) = 6.25
- total energy (eV per atom) = -5.35
- magnetization (Bohr magnetons per cell) = 6.6

Cell: 7.9430 7.9430 4.0463 Å, 90.00 90.00 90.00°
Sites, in units of the cell vectors:
Fe  0.9007  0.5993  0.0000
Na  0.0000  0.0000  0.0000
La  0.8295  0.3295  0.5000
Na  0.5000  0.5000  0.0000
La  0.6705  0.8295  0.5000
Fe  0.0993  0.4007  0.0000
La  0.1705  0.6705  0.5000
La  0.3295  0.1705  0.5000
Fe  0.5993  0.0993  0.0000
Fe  0.4007  0.9007  0.0000

Entry 9:
VASP calculation (PBE-GGA) on a relaxed NaLa2Fe2 crystal.

## Properties
- formation energy (kcal/mol of atoms) = 6.13
- total energy (eV per atom) = -5.35
- magnetization (Bohr magnetons per cell) = 4.5

Cell: 3.4984 3.4984 11.2692 Å, 81.07 81.07 90.00°
Sites, in units of the cell vectors:
La  0.6432  0.6432  0.7135
Na  0.0000  0.0000  0.0000
Fe  0.7500  0.2500  0.5000
Fe  0.2500  0.7500  0.5000
La  0.3568  0.3568  0.2865

Entry 10:
VASP calculation (PBE-GGA) on a relaxed NaLa2Fe crystal.

## Properties
- formation energy (kcal/mol of atoms) = 9.71
- total energy (eV per atom) = -4.49
- magnetization (Bohr magnetons per cell) = 0.0

Cell: 5.2314 5.2314 5.2314 Å, 60.00 60.00 60.00°
Sites, in units of the cell vectors:
La  0.2500  0.2500  0.2500
La  0.7500  0.7500  0.7500
Na  0.0000  0.0000  0.0000
Fe  0.5000  0.5000  0.5000

| no. | excess energy over the best structure of this formula in the dataset (eV per atom) | N(E_F) (states/eV per atom) |
| --- | --- | --- |
| 1 | 0.186 | 1.67 |
| 2 | 0.200 | 1.50 |
| 3 | 0.000 | 0.78 |
| 4 | 0.000 | 0.79 |
| 5 | 0.154 | 0.97 |
| 6 | 0.000 | 1.40 |
| 7 | 0.124 | 2.77 |
| 8 | 0.005 | 1.09 |
| 9 | 0.000 | 1.02 |
| 10 | 0.224 | 1.27 |